Entry from Alexandria: a geometry-optimized NiHg2WO structure (GGA+U).

Results
For the total energy, the calculation gives -2.4052 eV per atom.

Cell lengths 5.5259, 5.5259, 3.7802 Å; angles 90.00, 90.00, 90.00 degrees
Last column: nearest neighbours and their distance in Å.
Fractional coordinates of all 5 atoms:
Ni1 0.0000 0.0000 0.0000  8 Hg 3.35
Hg1 0.0000 0.5000 0.5000  2 W 2.76
Hg2 0.5000 0.0000 0.5000  2 W 2.76
W1 0.5000 0.5000 0.5000  2 O 1.89
O1 0.5000 0.5000 0.0000  2 W 1.89